# 1
# Li2ThTe6Pb3 (PBE, relaxed)
# E = -4.178 eV/atom
# calculated volume = 393 Å³/f.u.
# space-group type = C2/m, No. 12
# ΔE_f (raw) = -8.91 eV/f.u.
# crystal system = monoclinic
data_Li2ThTe6Pb3
_cell_length_a 7.7790
_cell_length_b 7.7790
_cell_length_c 7.9277
_cell_angle_alpha 99.36
_cell_angle_beta 99.36
_cell_angle_gamma 120.05
_symmetry_space_group_name_H-M 'P 1'
_symmetry_Int_Tables_number 1
_symmetry_space_group_name_Hall 'P 1'
loop_
_atom_site_label
_atom_site_fract_x
_atom_site_fract_y
_atom_site_fract_z
Li1 0.6736 0.3264 0.0000
Li2 0.3264 0.6736 0.0000
Te1 0.9216 0.5885 0.7681
Te2 0.5885 0.9216 0.7681
Te3 0.4115 0.0784 0.2319
Te4 0.0784 0.4115 0.2319
Te5 0.7434 0.7434 0.2344
Te6 0.2566 0.2566 0.7656
Pb1 0.5000 0.5000 0.5000
Pb2 0.8384 0.1616 0.5000
Pb3 0.1616 0.8384 0.5000
Th1 0.0000 0.0000 0.0000



# 2
# Ba2BeSbO6 (PBE, relaxed)
# E = -6.150 eV/atom
# calculated volume = 147 Å³/f.u.
# space-group type = P-3m1, No. 164
# ΔE_f (raw) = -20.05 eV/f.u.
# crystal system = trigonal
data_Ba2BeSbO6
_cell_length_a 5.0006
_cell_length_b 5.8360
_cell_length_c 5.8360
_cell_angle_alpha 120.00
_cell_angle_beta 90.00
_cell_angle_gamma 90.00
_symmetry_space_group_name_H-M 'P 1'
_symmetry_Int_Tables_number 1
_symmetry_space_group_name_Hall 'P 1'
loop_
_atom_site_label
_atom_site_fract_x
_atom_site_fract_y
_atom_site_fract_z
Sb1 0.5000 0.0000 0.0000
O1 0.7632 0.7024 0.8512
O2 0.2368 0.2976 0.1488
O3 0.2368 0.8512 0.1488
O4 0.2368 0.8512 0.7024
O5 0.7632 0.1488 0.2976
O6 0.7632 0.1488 0.8512
Ba1 0.8053 0.6667 0.3333
Ba2 0.1947 0.3333 0.6667
Be1 0.0000 0.0000 0.0000



- Look up the E of the first one.
  -4.178 eV/atom



- What is the formula in the first record?
  Li2ThTe6Pb3



What did the second record say?
# Ba2BeSbO6 (PBE, relaxed)
# E = -6.150 eV/atom
# calculated volume = 147 Å³/f.u.
# space-group type = P-3m1, No. 164
# ΔE_f (raw) = -20.05 eV/f.u.
# crystal system = trigonal
data_Ba2BeSbO6
_cell_length_a 5.0006
_cell_length_b 5.8360
_cell_length_c 5.8360
_cell_angle_alpha 120.00
_cell_angle_beta 90.00
_cell_angle_gamma 90.00
_symmetry_space_group_name_H-M 'P 1'
_symmetry_Int_Tables_number 1
_symmetry_space_group_name_Hall 'P 1'
loop_
_atom_site_label
_atom_site_fract_x
_atom_site_fract_y
_atom_site_fract_z
Sb1 0.5000 0.0000 0.0000
O1 0.7632 0.7024 0.8512
O2 0.2368 0.2976 0.1488
O3 0.2368 0.8512 0.1488
O4 0.2368 0.8512 0.7024
O5 0.7632 0.1488 0.2976
O6 0.7632 0.1488 0.8512
Ba1 0.8053 0.6667 0.3333
Ba2 0.1947 0.3333 0.6667
Be1 0.0000 0.0000 0.0000



- Which of these has the highest calculated volume?
  Li2ThTe6Pb3